This record from Alexandria describes a geometry-optimized CoRu2I structure. The functional is PBE-GGA.

abc: 3.7587 3.7587 9.6995
angles: 78.83 78.83 90.00
Closest atoms and distances in Å follow each position.
Element x y z (fractional)
Co: 0.5000 0.5000 0.0000  4 Ru 2.63, 4 I 2.66
Co: 0.2500 0.7500 0.5000  4 Ru 2.63, 4 I 2.66
Ru: 0.3750 0.4161 0.7500  2 Ru 2.45, 2 Co 2.63, 2 I 2.74
Ru: 0.8750 0.8339 0.7500  2 Ru 2.45, 2 Co 2.63, 2 I 2.74
Ru: 0.1661 0.6250 0.2500  2 Ru 2.45, 2 Co 2.63, 2 I 2.74
Ru: 0.5839 0.1250 0.2500  2 Ru 2.45, 2 Co 2.63, 2 I 2.74
I: 0.0000 0.0000 0.0000  4 Co 2.66, 4 Ru 2.74
I: 0.7500 0.2500 0.5000  4 Co 2.66, 4 Ru 2.74

Output
Symmetry = I-42d (122)
ΔE_f (raw) = 92.6 kJ per mole of atoms
Calculated total energy = -5.84 eV per atom
Energy above the lowest structure with this stoichiometry = 93.5 meV per atom